No. 1
# BeSbP3 PBE-GGA relaxed
data_BeSbP3
_cell_length_a 5.0180
_cell_length_b 5.0180
_cell_length_c 5.0180
_cell_angle_alpha 90.00
_cell_angle_beta 90.00
_cell_angle_gamma 90.00
_symmetry_space_group_name_H-M 'P m -3 m'
_symmetry_Int_Tables_number 221
_symmetry_space_group_name_Hall '-P 4 2 3'
loop_
_atom_site_label
_atom_site_type_symbol
_atom_site_fract_x
_atom_site_fract_y
_atom_site_fract_z
Be1 Be 0.0000 0.0000 0.0000
Sb1 Sb 0.5000 0.5000 0.5000
P1 P 0.0000 0.5000 0.5000
# M_tot = 0.000 μB per formula unit
# ΔE_f (raw) = 1662 meV/atom
# crystal system = cubic

No. 2
# RbSc PBE-GGA relaxed
data_RbSc
_cell_length_a 3.6706
_cell_length_b 4.7553
_cell_length_c 11.1497
_cell_angle_alpha 90.00
_cell_angle_beta 90.00
_cell_angle_gamma 90.00
_symmetry_space_group_name_H-M 'P m m n'
_symmetry_Int_Tables_number 59
loop_
_symmetry_equiv_pos_as_xyz
'x,y,z'
'-x,-y,-z'
'-x+1/2,-y+1/2,z'
'x+1/2,y+1/2,-z'
'x+1/2,-y,-z'
'-x+1/2,y,z'
'-x,y+1/2,-z'
'x,-y+1/2,z'
loop_
_atom_site_label
_atom_site_type_symbol
_atom_site_fract_x
_atom_site_fract_y
_atom_site_fract_z
Rb1 Rb 0.2500 0.2500 0.1912
Sc1 Sc 0.2500 0.7500 0.4758
# energy of formation from the pure elements = 0.564 eV/atom
# M_tot = 0.052 μB per formula unit
# crystal system = orthorhombic

No. 3
# Mg2GaAu3 PBE-GGA relaxed
data_Mg2GaAu3
_cell_length_a 4.6300
_cell_length_b 4.6300
_cell_length_c 11.5275
_cell_angle_alpha 90.00
_cell_angle_beta 90.00
_cell_angle_gamma 120.00
_symmetry_space_group_name_H-M 'P -3 m 1'
_symmetry_Int_Tables_number 164
_symmetry_space_group_name_Hall '-P 3 2"'
loop_
_atom_site_label
_atom_site_type_symbol
_atom_site_fract_x
_atom_site_fract_y
_atom_site_fract_z
Mg1 Mg 0.0000 0.0000 0.0000
Mg2 Mg 0.0000 0.0000 0.5000
Mg3 Mg 0.3333 0.6667 0.1650
Ga1 Ga 0.3333 0.6667 0.6668
Au1 Au 0.0000 0.0000 0.2487
Au2 Au 0.3333 0.6667 0.4139
Au3 Au 0.3333 0.6667 0.9201
# energy of formation from the pure elements = -0.462 eV/atom
# M_tot = 0.000 μB per formula unit
# crystal system = trigonal

No. 4
# La3Pm2PrAs6 PBE-GGA relaxed
data_La3Pm2PrAs6
_cell_length_a 7.4804
_cell_length_b 12.9555
_cell_length_c 7.4819
_cell_angle_alpha 90.00
_cell_angle_beta 109.45
_cell_angle_gamma 90.00
_symmetry_space_group_name_H-M 'C 1 2/m 1'
_symmetry_Int_Tables_number 12
_symmetry_space_group_name_Hall '-C 2y'
loop_
_atom_site_label
_atom_site_type_symbol
_atom_site_fract_x
_atom_site_fract_y
_atom_site_fract_z
La1 La 0.0000 0.0000 0.0000
La2 La 0.0000 0.3337 0.0000
Pm1 Pm 0.0000 0.1668 0.5000
Pr1 Pr 0.0000 0.5000 0.5000
As1 As 0.2461 0.0000 0.7451
As2 As 0.2504 0.1678 0.2547
# energy of formation from the pure elements = -1.545 eV/atom
# M_tot = 0.000 μB per formula unit
# crystal system = monoclinic

No. 5
# Pr6PaS12 PBE-GGA relaxed
data_Pr6PaS12
_cell_length_a 12.3848
_cell_length_b 12.3848
_cell_length_c 11.7044
_cell_angle_alpha 90.00
_cell_angle_beta 90.00
_cell_angle_gamma 120.00
_symmetry_space_group_name_H-M 'R -3'
_symmetry_Int_Tables_number 148
_symmetry_space_group_name_Hall '-R 3'
loop_
_atom_site_label
_atom_site_type_symbol
_atom_site_fract_x
_atom_site_fract_y
_atom_site_fract_z
Pr1 Pr 0.0523 0.7810 0.1421
Pa1 Pa 0.0000 0.0000 0.5000
S1 S 0.0375 0.8170 0.8983
S2 S 0.0505 0.8477 0.3845
# M_tot = 0.524 μB per formula unit
# ΔE_f (raw) = -1874 meV/atom
# crystal system = trigonal

No. 6
# YSiSe2 PBE-GGA relaxed
data_YSiSe2
_cell_length_a 4.0613
_cell_length_b 4.0332
_cell_length_c 5.7197
_cell_angle_alpha 90.00
_cell_angle_beta 110.70
_cell_angle_gamma 90.00
_symmetry_space_group_name_H-M 'P 1 m 1'
_symmetry_Int_Tables_number 6
_symmetry_space_group_name_Hall 'P -2y'
loop_
_atom_site_label
_atom_site_type_symbol
_atom_site_fract_x
_atom_site_fract_y
_atom_site_fract_z
Y1 Y 0.0000 0.0000 0.0000
Si1 Si 0.2001 0.5000 0.3865
Se1 Se 0.4147 0.5000 0.8281
Se2 Se 0.7007 0.0000 0.3984
# M_tot = 0.000 μB per formula unit
# ΔE_f (raw) = -949 meV/atom
# crystal system = monoclinic

No. 7
# MnNi12Ge6 PBE-GGA relaxed
data_MnNi12Ge6
_cell_length_a 10.7328
_cell_length_b 10.7328
_cell_length_c 7.6917
_cell_angle_alpha 90.00
_cell_angle_beta 90.00
_cell_angle_gamma 120.00
_symmetry_space_group_name_H-M 'R -3 m'
_symmetry_Int_Tables_number 166
_symmetry_space_group_name_Hall '-R 3 2"'
loop_
_atom_site_label
_atom_site_type_symbol
_atom_site_fract_x
_atom_site_fract_y
_atom_site_fract_z
Mn1 Mn 0.0000 0.0000 0.0000
Ni1 Ni 0.0000 0.3811 0.5000
Ni2 Ni 0.0817 0.1634 0.3098
Ge1 Ge 0.0423 0.5211 0.2522
# energy of formation from the pure elements = -0.077 eV/atom
# M_tot = 4.170 μB per formula unit
# crystal system = trigonal

No. 8
# CeSmZnSn PBE-GGA relaxed
data_CeSmZnSn
_cell_length_a 7.5068
_cell_length_b 7.5068
_cell_length_c 7.5068
_cell_angle_alpha 90.00
_cell_angle_beta 90.00
_cell_angle_gamma 90.00
_symmetry_space_group_name_H-M 'F -4 3 m'
_symmetry_Int_Tables_number 216
_symmetry_space_group_name_Hall 'F -4 2 3'
loop_
_atom_site_label
_atom_site_type_symbol
_atom_site_fract_x
_atom_site_fract_y
_atom_site_fract_z
Ce1 Ce 0.0000 0.0000 0.0000
Sm1 Sm 0.0000 0.0000 0.5000
Zn1 Zn 0.2500 0.2500 0.7500
Sn1 Sn 0.2500 0.2500 0.2500
# energy of formation from the pure elements = -0.442 eV/atom
# M_tot = 0.977 μB per formula unit
# crystal system = cubic